[1]
## Tb6PmPr5 (PBE)

Data for a relaxed structure of Tb6PmPr5.

The structure in CIF format:
```
data_Tb6PmPr5
_chemical_formula_sum 'Tb6 Pm1 Pr5'
_cell_length_a 9.607
_cell_length_b 9.607
_cell_length_c 9.607
_cell_angle_alpha 148.86
_cell_angle_beta 115.82
_cell_angle_gamma 73.05
_space_group_name_H-M_alt 'P 1'
_space_group_IT_number 1
loop_
_space_group_symop_operation_xyz
'x,y,z'
loop_
_atom_site_label
_atom_site_type_symbol
_atom_site_fract_x
_atom_site_fract_y
_atom_site_fract_z
_atom_site_occupancy
Tb1 Tb 0.083 0.334 0.750 1
Tb2 Tb 0.249 0.000 0.249 1
Tb3 Tb 0.416 0.666 0.750 1
Tb4 Tb 0.584 0.334 0.250 1
Tb5 Tb 0.751 0.000 0.751 1
Tb6 Tb 0.917 0.666 0.250 1
Pm1 Pm 0.000 0.500 0.500 1
Pr1 Pr 0.166 0.166 0.000 1
Pr2 Pr 0.333 0.833 0.500 1
Pr3 Pr 0.500 0.500 0.000 1
Pr4 Pr 0.667 0.167 0.500 1
Pr5 Pr 0.834 0.834 0.000 1
```

ΔE to the lowest computed polymorph	4.2	meV per atom
SG	No. 71
crystal system	orthorhombic
ΔE_f	17	kJ/mol of formula units

[2]
## BC2 (PBE)

Data for a relaxed structure of BC2.

The structure in CIF format:
```
data_BC2
_chemical_formula_sum 'B4 C8'
_cell_length_a 4.398
_cell_length_b 4.398
_cell_length_c 8.094
_cell_angle_alpha 119.38
_cell_angle_beta 119.38
_cell_angle_gamma 33.67
_space_group_name_H-M_alt 'P 1'
_space_group_IT_number 1
loop_
_space_group_symop_operation_xyz
'x,y,z'
loop_
_atom_site_label
_atom_site_type_symbol
_atom_site_fract_x
_atom_site_fract_y
_atom_site_fract_z
_atom_site_occupancy
B1 B 0.000 0.000 0.000 1
B2 B 0.221 0.221 0.713 1
B3 B 0.552 0.552 0.870 1
B4 B 0.813 0.813 0.069 1
C1 C 0.029 0.029 0.503 1
C2 C 0.168 0.168 0.233 1
C3 C 0.332 0.332 0.195 1
C4 C 0.380 0.380 0.654 1
C5 C 0.518 0.518 0.390 1
C6 C 0.676 0.676 0.344 1
C7 C 0.748 0.748 0.850 1
C8 C 0.868 0.868 0.544 1
```

ΔE to the lowest computed polymorph	49.8	meV per atom
SG	No. 8
crystal system	monoclinic
ΔE_f	84	kJ/mol of formula units

[3]
## La2Ge3Ir4Pt (PBE)

Data for a relaxed structure of La2Ge3Ir4Pt.

The structure in CIF format:
```
data_La2Ge3Ir4Pt
_chemical_formula_sum 'La2 Ge3 Ir4 Pt1'
_cell_length_a 4.268
_cell_length_b 4.268
_cell_length_c 10.571
_cell_angle_alpha 90.00
_cell_angle_beta 90.00
_cell_angle_gamma 90.00
_space_group_name_H-M_alt 'P 1'
_space_group_IT_number 1
loop_
_space_group_symop_operation_xyz
'x,y,z'
loop_
_atom_site_label
_atom_site_type_symbol
_atom_site_fract_x
_atom_site_fract_y
_atom_site_fract_z
_atom_site_occupancy
La1 La 0.000 0.500 0.249 1
La2 La 0.500 0.000 0.751 1
Ge1 Ge 0.000 0.000 0.000 1
Ge2 Ge 0.000 0.500 0.626 1
Ge3 Ge 0.500 0.000 0.374 1
Ir1 Ir 0.000 0.000 0.500 1
Ir2 Ir 0.000 0.500 0.858 1
Ir3 Ir 0.500 0.000 0.142 1
Ir4 Ir 0.500 0.500 0.500 1
Pt1 Pt 0.500 0.500 0.000 1
```

SG	No. 115
crystal system	tetragonal
ΔE_f	-691	kJ/mol of formula units

Number 1: theoretical density 7.37 g cm⁻³. Number 2: theoretical density 3.10 g cm⁻³. Number 3: theoretical density 12.59 g cm⁻³.